VASP calculation (PBE) on a relaxed structure of GaAgPb.

The total moment is 0.00 μB per atom. As for the energy of formation from the pure elements: 0.0720 eV per atom. The space-group type is C2/m, No. 12. The density of states at the Fermi level comes out at 0.436 states/eV/atom.

Unit cell a=4.9594 b=4.9594 c=8.1706 alpha=117.66 beta=117.66 gamma=56.56
With the nearest neighbours (Å) after each atom.
Fractional positions:
Ga  0.1603  0.1603  0.1782  4 Ag 2.74-2.94, 1 Ga 2.78, 2 Pb 3.00
Ga  0.8397  0.8397  0.8218  4 Ag 2.74-2.94, 1 Ga 2.78, 2 Pb 3.00
Ag  0.1957  0.1957  0.8638  4 Ga 2.74-2.94, 2 Ag 3.02
Ag  0.8043  0.8043  0.1362  4 Ga 2.74-2.94, 2 Ag 3.02
Pb  0.4159  0.4159  0.6481  4 Ga 3.00-3.27, 3 Ag 3.17-3.22
Pb  0.5841  0.5841  0.3519  4 Ga 3.00-3.27, 3 Ag 3.17-3.22

=====

VASP calculation (PBE) on a relaxed structure of BaTaMn2Se8.

The total moment is 0.42 μB per atom. Its uncorrected formation energy is -0.5544 eV per atom. The space-group type is P-3, No. 147. The density of states at the Fermi level comes out at 0.362 states/eV/atom.

Unit cell a=6.4172 b=6.4172 c=8.8044 alpha=90.00 beta=90.00 gamma=120.00
With the nearest neighbours (Å) after each atom.
Fractional positions:
Ba  0.0000  0.0000  0.0000  12 Se 3.58-3.71
Ta  0.0000  0.0000  0.5000  6 Se 2.58
Mn  0.3333  0.6667  0.7511  4 Se 2.22-2.31
Mn  0.6667  0.3333  0.2489  4 Se 2.22-2.31
Se  0.0093  0.6773  0.3297  1 Mn 2.31, 1 Ta 2.58
Se  0.3227  0.3320  0.3297  1 Mn 2.31, 1 Ta 2.58
Se  0.3320  0.0093  0.6703  1 Mn 2.31, 1 Ta 2.58
Se  0.3333  0.6667  0.0032  1 Mn 2.22
Se  0.6667  0.3333  0.9968  1 Mn 2.22
Se  0.6680  0.9907  0.3297  1 Mn 2.31, 1 Ta 2.58
Se  0.6773  0.6680  0.6703  1 Mn 2.31, 1 Ta 2.58
Se  0.9907  0.3227  0.6703  1 Mn 2.31, 1 Ta 2.58

=====

VASP calculation (PBE) on a relaxed structure of Fe2SeBr.

The total moment is 1.63 μB per atom. Its uncorrected formation energy is 0.4710 eV per atom. The space-group type is Pmmm, No. 47. The density of states at the Fermi level comes out at 1.561 states/eV/atom.

Unit cell a=3.3666 b=3.7234 c=6.4521 alpha=90.00 beta=90.00 gamma=90.00
With the nearest neighbours (Å) after each atom.
Fractional positions:
Fe  0.0000  0.0000  0.0000  4 Br 2.51
Fe  0.5000  0.0000  0.5000  4 Se 2.51
Se  0.0000  0.5000  0.5000  4 Fe 2.51
Br  0.5000  0.5000  0.0000  4 Fe 2.51